KNa2NbN | PBE-GGA | optimized geometry

Cell lengths 6.326, 6.326, 4.024 Å; angles 90.00, 90.00, 90.00 degrees
Space group P4/mmm (No. 123)
One atom of each set of equivalent atoms:
K  0.000  0.000  0.000 [1 per cell]
Na  0.000  0.500  0.500 [2 per cell]
Nb  0.500  0.500  0.500 [1 per cell]
N  0.500  0.500  0.000 [1 per cell]

Its uncorrected energy is -19.7 eV per cell. The calculation puts the magnetization at 1.72 Bohr magnetons per cell. The value obtained for the formation energy (no corrections) is 0.48 eV per atom.

***

KNaNiN2 | PBE-GGA | optimized geometry

Cell lengths 4.600, 4.600, 4.620 Å; angles 90.00, 90.00, 90.00 degrees
Space group P4/mmm (No. 123)
One atom of each set of equivalent atoms:
K  0.000  0.000  0.000 [1 per cell]
Na  0.000  0.000  0.500 [1 per cell]
Ni  0.500  0.500  0.500 [1 per cell]
N  0.000  0.500  0.000 [2 per cell]

Its uncorrected energy is -12.9 eV per cell. The calculation puts the magnetization at 4.14 Bohr magnetons per cell. The value obtained for the formation energy (no corrections) is 2.40 eV per atom.

***

KNaNpN3 | PBE-GGA | optimized geometry

Cell lengths 5.984, 12.380, 5.877 Å; angles 90.00, 99.53, 90.00 degrees
Space group C2/c (No. 15)
One atom of each set of equivalent atoms:
K  0.000  0.248  0.250 [4 per cell]
Na  0.000  0.074  0.750 [4 per cell]
Np  0.000  0.430  0.750 [4 per cell]
N  0.000  0.278  0.750 [4 per cell]
N  0.191  0.455  0.502 [8 per cell]

Its uncorrected energy is -172.6 eV per cell. The calculation puts the magnetization at 0.00 Bohr magnetons per cell. The value obtained for the formation energy (no corrections) is -0.47 eV per atom.

***

KNaNp4N8 | PBE-GGA | optimized geometry

Cell lengths 6.8962, 6.8962, 16.6668 Å; angles 90.00, 90.00, 120.00 degrees
Space group R3m (No. 160, hexagonal axes)
One atom of each set of equivalent atoms:
K  0.0000  0.0000  0.0000 [3 per cell]
Na  0.0000  0.0000  0.6197 [3 per cell]
Np  0.0000  0.0000  0.2321 [3 per cell]
Np  0.1693  0.3387  0.4538 [9 per cell]
N  0.0000  0.0000  0.3836 [3 per cell]
N  0.0000  0.0000  0.8466 [3 per cell]
N  0.0601  0.5300  0.3957 [9 per cell]
N  0.1777  0.3553  0.1853 [9 per cell]

Its uncorrected energy is -390.7 eV per cell. The calculation puts the magnetization at 3.12 Bohr magnetons per cell. The value obtained for the formation energy (no corrections) is -0.68 eV per atom.

***

KNaPa4N8 | PBE-GGA | optimized geometry

Cell lengths 7.1530, 7.1530, 16.7988 Å; angles 90.00, 90.00, 120.00 degrees
Space group R3m (No. 160, hexagonal axes)
One atom of each set of equivalent atoms:
K  0.0000  0.0000  0.0000 [3 per cell]
Na  0.0000  0.0000  0.6184 [3 per cell]
Pa  0.0000  0.0000  0.2369 [3 per cell]
Pa  0.1724  0.3448  0.4511 [9 per cell]
N  0.0000  0.0000  0.3682 [3 per cell]
N  0.0000  0.0000  0.8465 [3 per cell]
N  0.0093  0.5047  0.8519 [9 per cell]
N  0.0536  0.5268  0.3904 [9 per cell]

Its uncorrected energy is -361.9 eV per cell. The calculation puts the magnetization at 0.00 Bohr magnetons per cell. The value obtained for the formation energy (no corrections) is -0.97 eV per atom.

***

KNaRe2N | PBE-GGA | optimized geometry

Cell lengths 5.057, 5.057, 6.133 Å; angles 90.00, 90.00, 90.00 degrees
Space group P4/mmm (No. 123)
One atom of each set of equivalent atoms:
K  0.000  0.000  0.000 [1 per cell]
Na  0.000  0.000  0.500 [1 per cell]
Re  0.000  0.500  0.500 [2 per cell]
N  0.500  0.500  0.000 [1 per cell]

Its uncorrected energy is -17.9 eV per cell. The calculation puts the magnetization at 5.16 Bohr magnetons per cell. The value obtained for the formation energy (no corrections) is 3.55 eV per atom.

***

KNaReN3 | PBE-GGA | optimized geometry

Cell lengths 6.059, 11.402, 5.508 Å; angles 90.00, 95.65, 90.00 degrees
Space group C2/c (No. 15)
One atom of each set of equivalent atoms:
K  0.000  0.235  0.250 [4 per cell]
Na  0.000  0.079  0.750 [4 per cell]
Re  0.000  0.448  0.750 [4 per cell]
N  0.000  0.293  0.750 [4 per cell]
N  0.212  0.482  0.496 [8 per cell]

Its uncorrected energy is -163.7 eV per cell. The calculation puts the magnetization at 0.00 Bohr magnetons per cell. The value obtained for the formation energy (no corrections) is -0.18 eV per atom.

***

K2NaRhN | PBE-GGA | optimized geometry

Cell lengths 6.088, 6.088, 3.756 Å; angles 90.00, 90.00, 90.00 degrees
Space group P4/mmm (No. 123)
One atom of each set of equivalent atoms:
K  0.000  0.500  0.000 [2 per cell]
Na  0.000  0.000  0.500 [1 per cell]
Rh  0.500  0.500  0.500 [1 per cell]
N  0.500  0.500  0.000 [1 per cell]

Its uncorrected energy is -18.7 eV per cell. The calculation puts the magnetization at 0.00 Bohr magnetons per cell. The value obtained for the formation energy (no corrections) is 0.09 eV per atom.

***

KNa2RhN | PBE-GGA | optimized geometry

Cell lengths 5.272, 5.272, 3.847 Å; angles 90.00, 90.00, 90.00 degrees
Space group P4/mmm (No. 123)
One atom of each set of equivalent atoms:
K  0.000  0.000  0.000 [1 per cell]
Na  0.000  0.500  0.500 [2 per cell]
Rh  0.500  0.500  0.000 [1 per cell]
N  0.500  0.500  0.500 [1 per cell]

Its uncorrected energy is -18.8 eV per cell. The calculation puts the magnetization at 0.28 Bohr magnetons per cell. The value obtained for the formation energy (no corrections) is 0.13 eV per atom.

***

KNaS2N | PBE-GGA | optimized geometry

Cell lengths 5.295, 5.295, 4.870 Å; angles 90.00, 90.00, 90.00 degrees
Space group P4/mmm (No. 123)
One atom of each set of equivalent atoms:
K  0.000  0.000  0.000 [1 per cell]
Na  0.500  0.500  0.500 [1 per cell]
S  0.000  0.500  0.500 [2 per cell]
N  0.500  0.500  0.000 [1 per cell]

The calculation puts the polymorph energy (0 for the lowest one) at 0.0 meV per atom. Its uncorrected energy is -15.3 eV per cell. The calculation puts the magnetization at 5.01 Bohr magnetons per cell. The value obtained for the formation energy (no corrections) is 0.74 eV per atom.

***

KNaS2N | PBE-GGA | optimized geometry

Cell lengths 5.806, 5.806, 5.191 Å; angles 90.00, 90.00, 90.00 degrees
Space group P4/mmm (No. 123)
One atom of each set of equivalent atoms:
K  0.000  0.000  0.000 [1 per cell]
Na  0.500  0.500  0.500 [1 per cell]
S  0.000  0.500  0.000 [2 per cell]
N  0.000  0.000  0.500 [1 per cell]

The calculation puts the polymorph energy (0 for the lowest one) at 326.8 meV per atom. Its uncorrected energy is -13.7 eV per cell. The calculation puts the magnetization at 5.01 Bohr magnetons per cell. The value obtained for the formation energy (no corrections) is 1.07 eV per atom.

***

KNaSN2 | PBE-GGA | optimized geometry

Cell lengths 5.120, 5.120, 6.010 Å; angles 90.00, 90.00, 90.00 degrees
Space group P4/mmm (No. 123)
One atom of each set of equivalent atoms:
K  0.000  0.000  0.000 [1 per cell]
Na  0.500  0.500  0.500 [1 per cell]
S  0.000  0.000  0.500 [1 per cell]
N  0.000  0.500  0.000 [2 per cell]

The calculation puts the polymorph energy (0 for the lowest one) at 295.8 meV per atom. Its uncorrected energy is -15.0 eV per cell. The calculation puts the magnetization at 6.01 Bohr magnetons per cell. The value obtained for the formation energy (no corrections) is 1.65 eV per atom.

***

KNaSN2 | PBE-GGA | optimized geometry

Cell lengths 4.850, 4.850, 5.302 Å; angles 90.00, 90.00, 90.00 degrees
Space group P4/mmm (No. 123)
One atom of each set of equivalent atoms:
K  0.000  0.000  0.000 [1 per cell]
Na  0.500  0.500  0.500 [1 per cell]
S  0.500  0.500  0.000 [1 per cell]
N  0.000  0.500  0.500 [2 per cell]

The calculation puts the polymorph energy (0 for the lowest one) at 0.0 meV per atom. Its uncorrected energy is -16.4 eV per cell. The calculation puts the magnetization at 6.01 Bohr magnetons per cell. The value obtained for the formation energy (no corrections) is 1.35 eV per atom.

***

KNaScN2 | PBE-GGA | optimized geometry

Cell lengths 4.539, 4.539, 4.394 Å; angles 90.00, 90.00, 90.00 degrees
Space group P4/mmm (No. 123)
One atom of each set of equivalent atoms:
K  0.000  0.000  0.000 [1 per cell]
Na  0.500  0.500  0.500 [1 per cell]
Sc  0.500  0.500  0.000 [1 per cell]
N  0.000  0.500  0.500 [2 per cell]

Its uncorrected energy is -17.2 eV per cell. The calculation puts the magnetization at 1.02 Bohr magnetons per cell. The value obtained for the formation energy (no corrections) is 1.65 eV per atom.

***

KNa2ScN | PBE-GGA | optimized geometry

Cell lengths 6.660, 6.660, 4.012 Å; angles 90.00, 90.00, 90.00 degrees
Space group P4/mmm (No. 123)
One atom of each set of equivalent atoms:
K  0.000  0.000  0.000 [1 per cell]
Na  0.000  0.500  0.500 [2 per cell]
Sc  0.500  0.500  0.500 [1 per cell]
N  0.500  0.500  0.000 [1 per cell]

Its uncorrected energy is -17.5 eV per cell. The calculation puts the magnetization at 0.02 Bohr magnetons per cell. The value obtained for the formation energy (no corrections) is 0.19 eV per atom.

***

KNaSeN2 | PBE-GGA | optimized geometry

Cell lengths 5.133, 5.133, 6.287 Å; angles 90.00, 90.00, 90.00 degrees
Space group P4/mmm (No. 123)
One atom of each set of equivalent atoms:
K  0.000  0.000  0.000 [1 per cell]
Na  0.500  0.500  0.500 [1 per cell]
Se  0.000  0.000  0.500 [1 per cell]
N  0.000  0.500  0.000 [2 per cell]

The calculation puts the polymorph energy (0 for the lowest one) at 266.0 meV per atom. Its uncorrected energy is -14.6 eV per cell. The calculation puts the magnetization at 6.01 Bohr magnetons per cell. The value obtained for the formation energy (no corrections) is 1.58 eV per atom.

***

KNaSeN2 | PBE-GGA | optimized geometry

Cell lengths 4.914, 4.914, 5.537 Å; angles 90.00, 90.00, 90.00 degrees
Space group P4/mmm (No. 123)
One atom of each set of equivalent atoms:
K  0.000  0.000  0.000 [1 per cell]
Na  0.500  0.500  0.500 [1 per cell]
Se  0.500  0.500  0.000 [1 per cell]
N  0.000  0.500  0.500 [2 per cell]

The calculation puts the polymorph energy (0 for the lowest one) at 0.0 meV per atom. Its uncorrected energy is -16.0 eV per cell. The calculation puts the magnetization at 6.03 Bohr magnetons per cell. The value obtained for the formation energy (no corrections) is 1.31 eV per atom.

***

KNa2SeN | PBE-GGA | optimized geometry

Cell lengths 4.666, 4.666, 5.255 Å; angles 90.00, 90.00, 90.00 degrees
Space group P4/mmm (No. 123)
One atom of each set of equivalent atoms:
K  0.000  0.000  0.000 [1 per cell]
Na  0.000  0.500  0.500 [2 per cell]
Se  0.500  0.500  0.000 [1 per cell]
N  0.500  0.500  0.500 [1 per cell]

Its uncorrected energy is -15.1 eV per cell. The calculation puts the magnetization at 0.28 Bohr magnetons per cell. The value obtained for the formation energy (no corrections) is 0.09 eV per atom.

***

KNaSe2N | PBE-GGA | optimized geometry

Cell lengths 5.325, 5.325, 5.040 Å; angles 90.00, 90.00, 90.00 degrees
Space group P4/mmm (No. 123)
One atom of each set of equivalent atoms:
K  0.000  0.000  0.000 [1 per cell]
Na  0.500  0.500  0.500 [1 per cell]
Se  0.000  0.500  0.500 [2 per cell]
N  0.500  0.500  0.000 [1 per cell]

The calculation puts the polymorph energy (0 for the lowest one) at 0.0 meV per atom. Its uncorrected energy is -14.6 eV per cell. The calculation puts the magnetization at 3.21 Bohr magnetons per cell. The value obtained for the formation energy (no corrections) is 0.62 eV per atom.

***

KNaSe2N | PBE-GGA | optimized geometry

Cell lengths 6.052, 6.052, 5.178 Å; angles 90.00, 90.00, 90.00 degrees
Space group P4/mmm (No. 123)
One atom of each set of equivalent atoms:
K  0.000  0.000  0.000 [1 per cell]
Na  0.500  0.500  0.500 [1 per cell]
Se  0.000  0.500  0.000 [2 per cell]
N  0.000  0.000  0.500 [1 per cell]

The calculation puts the polymorph energy (0 for the lowest one) at 325.8 meV per atom. Its uncorrected energy is -13.0 eV per cell. The calculation puts the magnetization at 5.03 Bohr magnetons per cell. The value obtained for the formation energy (no corrections) is 0.94 eV per atom.